Computed, not measured: a geometry-optimized HfMn2Cu2 structure at the PBE level of DFT.

Lattice parameters (Å, degrees): 3.7521 3.7521 10.0588 90.00 90.00 90.00
With the nearest neighbours (Å) after each atom.
Space group I4/mmm (No. 139)
One atom of each set of equivalent atoms:
Hf 0.0000 0.0000 0.0000 (multiplicity 2)  8 Mn 2.82, 8 Cu 3.14
Mn 0.0000 0.0000 0.4042 (multiplicity 4)  1 Mn 1.93
Cu 0.0000 0.5000 0.2500 (multiplicity 4)  4 Mn 2.43, 4 Cu 2.65

Output
For the density of states at the Fermi level, the calculation gives 5.14 states/eV/cell. The calculation puts the formation energy at 0.16 eV/atom. The calculation puts the energy at -7.135 eV/atom.